Compound: In2HgBi
Source: Alexandria
Functional: SCAN
Structure: PBEsol geometry

abc: 5.335 5.335 5.335
angles: 60.00 60.00 60.00
Positions (direct):
Hg: 0.000 0.000 0.000
Bi: 0.500 0.500 0.500
In: 0.250 0.250 0.250
In: 0.750 0.750 0.750

Its excess energy over the best structure of this formula in the dataset is 0 meV/atom. Its energy relative to the elements is 2 kJ per mole of atoms. Its space group is No. 225. As for the uncorrected energy: -213.44 eV for the cell shown.

Compound: KHg2Bi2
Source: Alexandria
Functional: SCAN
Structure: PBEsol geometry

abc: 5.528 5.528 6.713
angles: 114.31 114.31 90.00
Positions (direct):
K: 0.000 0.000 0.000
Bi: 0.361 0.361 0.723
Bi: 0.639 0.639 0.277
Hg: 0.250 0.750 0.500
Hg: 0.750 0.250 0.500

Its energy relative to the elements is -20 kJ per mole of atoms. Its space group is No. 139. As for the uncorrected energy: -302.84 eV for the cell shown.

Compound: KLiHgBi2
Source: Alexandria
Functional: SCAN
Structure: PBEsol geometry

abc: 5.184 5.184 5.407
angles: 90.00 90.00 90.00
Positions (direct):
K: 0.500 0.500 0.500
Li: 0.000 0.000 0.000
Bi: 0.000 0.500 0.000
Bi: 0.500 0.000 0.000
Hg: 0.000 0.000 0.500

Its energy relative to the elements is -16 kJ per mole of atoms. Its space group is No. 123. As for the uncorrected energy: -236.88 eV for the cell shown.

Compound: KMnHgBi2
Source: Alexandria
Functional: SCAN
Structure: PBEsol geometry

abc: 5.251 5.251 5.275
angles: 90.00 90.00 90.00
Positions (direct):
K: 0.500 0.500 0.500
Mn: 0.000 0.000 0.000
Bi: 0.000 0.500 0.000
Bi: 0.500 0.000 0.000
Hg: 0.000 0.000 0.500

Its energy relative to the elements is -8 kJ per mole of atoms. Its space group is No. 123. As for the uncorrected energy: -252.33 eV for the cell shown.